Version 1
A relaxed SnMoSe2N crystal, computed with PBE-GGA.

Cell lengths 5.348, 5.348, 3.914 Å; angles 90.00, 90.00, 90.00 degrees
Last column: magnetic moment on the atom in μB.
Fractional coordinates of all 5 atoms:
Mo 0.500 0.500 0.500  3.36
Sn 0.000 0.000 0.000  -0.02
Se 0.000 0.500 0.000  -0.10
Se 0.500 0.000 0.000  -0.10
N 0.000 0.000 0.500  0.43

Space group = P4/mmm, No. 123
V = 112.0 Å³/cell
Magnetization = 4.31 μB per cell

---

Version 2
A relaxed SnMoSe2N crystal, computed with PBE-GGA.

Cell lengths 5.175, 5.175, 3.827 Å; angles 90.00, 90.00, 90.00 degrees
Last column: magnetic moment on the atom in μB.
Fractional coordinates of all 5 atoms:
Mo 0.000 0.000 0.000  0.23
Sn 0.500 0.500 0.500  0.02
Se 0.000 0.500 0.000  0.00
Se 0.500 0.000 0.000  0.00
N 0.000 0.000 0.500  -0.03

Space group = P4/mmm, No. 123
V = 102.5 Å³/cell
Magnetization = 0.25 μB per cell

---

The most stable of them is version 2.

---

Version 1
A relaxed TeMoSe2N crystal, computed with PBE-GGA.

Cell lengths 5.391, 5.391, 3.902 Å; angles 90.00, 90.00, 90.00 degrees
Last column: magnetic moment on the atom in μB.
Fractional coordinates of all 5 atoms:
Mo 0.500 0.500 0.500  3.43
Te 0.000 0.000 0.000  0.02
Se 0.000 0.500 0.000  -0.15
Se 0.500 0.000 0.000  -0.15
N 0.000 0.000 0.500  -0.04

Space group = P4/mmm, No. 123
V = 113.4 Å³/cell
Magnetization = 3.66 μB per cell

---

Version 2
A relaxed TeMoSe2N crystal, computed with PBE-GGA.

Cell lengths 5.142, 5.142, 3.823 Å; angles 90.00, 90.00, 90.00 degrees
Fractional coordinates of all 5 atoms:
Mo 0.000 0.000 0.000
Te 0.500 0.500 0.500
Se 0.000 0.500 0.000
Se 0.500 0.000 0.000
N 0.000 0.000 0.500

Space group = P4/mmm, No. 123
V = 101.1 Å³/cell
Magnetization = 0.00 μB per cell

---

The most stable of them is version 2.